(A)
The following is a PBE calculation of a geometry-optimized OsPdRh structure, from Alexandria via LeMat-Bulk.

Cell and atoms, written as CIF:
```
data_OsPdRh
_chemical_formula_sum 'Os2 Pd2 Rh2'
_symmetry_space_group_name_H-M 'I 4 m m'
_symmetry_Int_Tables_number 107
_symmetry_space_group_name_Hall 'I 4 -2'
_cell_length_a 2.7358
_cell_length_b 2.7358
_cell_length_c 11.7150
_cell_angle_alpha 90.00
_cell_angle_beta 90.00
_cell_angle_gamma 90.00
loop_
_atom_site_label
_atom_site_type_symbol
_atom_site_fract_x
_atom_site_fract_y
_atom_site_fract_z
_atom_site_occupancy
Os1 Os 0.0000 0.0000 0.0000 1
Pd1 Pd 0.0000 0.0000 0.3313 1
Rh1 Rh 0.0000 0.0000 0.6530 1
```

## Properties
The density of states at the Fermi level is 9.58 states/eV/cell.

=====

(B)
The following is a PBE calculation of a geometry-optimized OsPdRh structure, from Alexandria via LeMat-Bulk.

Cell and atoms, written as CIF:
```
data_OsPdRh
_chemical_formula_sum 'Os2 Pd2 Rh2'
_symmetry_space_group_name_H-M 'P 3 m 1'
_symmetry_Int_Tables_number 156
_symmetry_space_group_name_Hall 'P 3 -2"'
_cell_length_a 2.7424
_cell_length_b 2.7424
_cell_length_c 13.4675
_cell_angle_alpha 90.00
_cell_angle_beta 90.00
_cell_angle_gamma 120.00
loop_
_atom_site_label
_atom_site_type_symbol
_atom_site_fract_x
_atom_site_fract_y
_atom_site_fract_z
_atom_site_occupancy
Os1 Os 0.0000 0.0000 0.0000 1
Os2 Os 0.3333 0.6667 0.8408 1
Pd1 Pd 0.0000 0.0000 0.5054 1
Pd2 Pd 0.6667 0.3333 0.3308 1
Rh1 Rh 0.3333 0.6667 0.1598 1
Rh2 Rh 0.6667 0.3333 0.6770 1
```

## Properties
The density of states at the Fermi level is 7.31 states/eV/cell.

=====

(C)
The following is a PBE calculation of a geometry-optimized OsPdRh structure, from Alexandria via LeMat-Bulk.

Cell and atoms, written as CIF:
```
data_OsPdRh
_chemical_formula_sum 'Os1 Pd1 Rh1'
_symmetry_space_group_name_H-M 'P 3 m 1'
_symmetry_Int_Tables_number 156
_symmetry_space_group_name_Hall 'P 3 -2"'
_cell_length_a 2.7293
_cell_length_b 2.7293
_cell_length_c 6.7688
_cell_angle_alpha 90.00
_cell_angle_beta 90.00
_cell_angle_gamma 120.00
loop_
_atom_site_label
_atom_site_type_symbol
_atom_site_fract_x
_atom_site_fract_y
_atom_site_fract_z
_atom_site_occupancy
Os1 Os 0.0000 0.0000 0.0000 1
Pd1 Pd 0.3333 0.6667 0.6635 1
Rh1 Rh 0.6667 0.3333 0.3167 1
```

## Properties
The density of states at the Fermi level is 3.80 states/eV/cell.

=====

(D)
The following is a PBE calculation of a geometry-optimized OsPdRh structure, from Alexandria via LeMat-Bulk.

Cell and atoms, written as CIF:
```
data_OsPdRh
_chemical_formula_sum 'Os4 Pd4 Rh4'
_symmetry_space_group_name_H-M 'C 1 2/m 1'
_symmetry_Int_Tables_number 12
_symmetry_space_group_name_Hall '-C 2y'
_cell_length_a 8.0344
_cell_length_b 4.5820
_cell_length_c 5.5481
_cell_angle_alpha 90.00
_cell_angle_beta 116.24
_cell_angle_gamma 90.00
loop_
_atom_site_label
_atom_site_type_symbol
_atom_site_fract_x
_atom_site_fract_y
_atom_site_fract_z
_atom_site_occupancy
Os1 Os 0.0024 0.0000 0.2895 1
Pd1 Pd 0.1968 0.5000 0.8133 1
Rh1 Rh 0.1651 0.5000 0.2936 1
```

## Properties
The density of states at the Fermi level is 9.34 states/eV/cell.

=====

Most stable structure - (B); separation to the second - 84 meV per atom.

=====

(A)
The following is a PBE calculation of a geometry-optimized Os2PdRh structure, from Alexandria via LeMat-Bulk.

Cell and atoms, written as CIF:
```
data_Os2PdRh
_chemical_formula_sum 'Os8 Pd4 Rh4'
_symmetry_space_group_name_H-M 'F m -3 m'
_symmetry_Int_Tables_number 225
_symmetry_space_group_name_Hall '-F 4 2 3'
_cell_length_a 6.1836
_cell_length_b 6.1836
_cell_length_c 6.1836
_cell_angle_alpha 90.00
_cell_angle_beta 90.00
_cell_angle_gamma 90.00
loop_
_atom_site_label
_atom_site_type_symbol
_atom_site_fract_x
_atom_site_fract_y
_atom_site_fract_z
_atom_site_occupancy
Os1 Os 0.2500 0.2500 0.2500 1
Pd1 Pd 0.0000 0.0000 0.0000 1
Rh1 Rh 0.0000 0.0000 0.5000 1
```

## Properties
The density of states at the Fermi level is 25.21 states/eV/cell.

=====

(B)
The following is a PBE calculation of a geometry-optimized Os2PdRh structure, from Alexandria via LeMat-Bulk.

Cell and atoms, written as CIF:
```
data_Os2PdRh
_chemical_formula_sum 'Os8 Pd4 Rh4'
_symmetry_space_group_name_H-M 'I -4 2 d'
_symmetry_Int_Tables_number 122
_symmetry_space_group_name_Hall 'I -4 2bw'
_cell_length_a 5.5982
_cell_length_b 5.5982
_cell_length_c 10.9613
_cell_angle_alpha 90.00
_cell_angle_beta 90.00
_cell_angle_gamma 90.00
loop_
_atom_site_label
_atom_site_type_symbol
_atom_site_fract_x
_atom_site_fract_y
_atom_site_fract_z
_atom_site_occupancy
Os1 Os 0.2405 0.2500 0.1250 1
Pd1 Pd 0.0000 0.0000 0.5000 1
Rh1 Rh 0.0000 0.0000 0.0000 1
```

## Properties
The density of states at the Fermi level is 12.35 states/eV/cell.

=====

Most stable structure - (A); separation to the second - 863 meV per atom.

=====

(A)
The following is a PBE calculation of a geometry-optimized Os2PdRu structure, from Alexandria via LeMat-Bulk.

Cell and atoms, written as CIF:
```
data_Os2PdRu
_chemical_formula_sum 'Os8 Pd4 Ru4'
_symmetry_space_group_name_H-M 'F m -3 m'
_symmetry_Int_Tables_number 225
_symmetry_space_group_name_Hall '-F 4 2 3'
_cell_length_a 6.1893
_cell_length_b 6.1893
_cell_length_c 6.1893
_cell_angle_alpha 90.00
_cell_angle_beta 90.00
_cell_angle_gamma 90.00
loop_
_atom_site_label
_atom_site_type_symbol
_atom_site_fract_x
_atom_site_fract_y
_atom_site_fract_z
_atom_site_occupancy
Os1 Os 0.2500 0.2500 0.2500 1
Pd1 Pd 0.0000 0.0000 0.0000 1
Ru1 Ru 0.0000 0.0000 0.5000 1
```

## Properties
The density of states at the Fermi level is 18.96 states/eV/cell.

=====

(B)
The following is a PBE calculation of a geometry-optimized Os2PdRu structure, from Alexandria via LeMat-Bulk.

Cell and atoms, written as CIF:
```
data_Os2PdRu
_chemical_formula_sum 'Os8 Pd4 Ru4'
_symmetry_space_group_name_H-M 'I -4 2 d'
_symmetry_Int_Tables_number 122
_symmetry_space_group_name_Hall 'I -4 2bw'
_cell_length_a 5.7194
_cell_length_b 5.7194
_cell_length_c 10.4607
_cell_angle_alpha 90.00
_cell_angle_beta 90.00
_cell_angle_gamma 90.00
loop_
_atom_site_label
_atom_site_type_symbol
_atom_site_fract_x
_atom_site_fract_y
_atom_site_fract_z
_atom_site_occupancy
Os1 Os 0.2363 0.2500 0.1250 1
Pd1 Pd 0.0000 0.0000 0.5000 1
Ru1 Ru 0.0000 0.0000 0.0000 1
```

## Properties
The density of states at the Fermi level is 11.15 states/eV/cell.

=====

Most stable structure - (A); separation to the second - 754 meV per atom.

=====

(A)
The following is a PBE calculation of a geometry-optimized OsPdRu2 structure, from Alexandria via LeMat-Bulk.

Cell and atoms, written as CIF:
```
data_OsPdRu2
_chemical_formula_sum 'Os4 Pd4 Ru8'
_symmetry_space_group_name_H-M 'I -4 2 d'
_symmetry_Int_Tables_number 122
_symmetry_space_group_name_Hall 'I -4 2bw'
_cell_length_a 5.7949
_cell_length_b 5.7949
_cell_length_c 10.1108
_cell_angle_alpha 90.00
_cell_angle_beta 90.00
_cell_angle_gamma 90.00
loop_
_atom_site_label
_atom_site_type_symbol
_atom_site_fract_x
_atom_site_fract_y
_atom_site_fract_z
_atom_site_occupancy
Os1 Os 0.0000 0.0000 0.0000 1
Pd1 Pd 0.0000 0.0000 0.5000 1
Ru1 Ru 0.2341 0.2500 0.1250 1
```

## Properties
The density of states at the Fermi level is 13.51 states/eV/cell.

=====

(B)
The following is a PBE calculation of a geometry-optimized OsPdRu2 structure, from Alexandria via LeMat-Bulk.

Cell and atoms, written as CIF:
```
data_OsPdRu2
_chemical_formula_sum 'Os4 Pd4 Ru8'
_symmetry_space_group_name_H-M 'F m -3 m'
_symmetry_Int_Tables_number 225
_symmetry_space_group_name_Hall '-F 4 2 3'
_cell_length_a 6.1700
_cell_length_b 6.1700
_cell_length_c 6.1700
_cell_angle_alpha 90.00
_cell_angle_beta 90.00
_cell_angle_gamma 90.00
loop_
_atom_site_label
_atom_site_type_symbol
_atom_site_fract_x
_atom_site_fract_y
_atom_site_fract_z
_atom_site_occupancy
Os1 Os 0.0000 0.0000 0.0000 1
Pd1 Pd 0.0000 0.0000 0.5000 1
Ru1 Ru 0.2500 0.2500 0.2500 1
```

## Properties
The density of states at the Fermi level is 25.00 states/eV/cell.

=====

Most stable structure - (B); separation to the second - 685 meV per atom.

=====

(A)
The following is a PBE calculation of a geometry-optimized Sb2OsPd2 structure, from Alexandria via LeMat-Bulk.

Cell and atoms, written as CIF:
```
data_Sb2OsPd2
_chemical_formula_sum 'Sb4 Os2 Pd4'
_symmetry_space_group_name_H-M 'P 4/m b m'
_symmetry_Int_Tables_number 127
_symmetry_space_group_name_Hall '-P 4 2ab'
_cell_length_a 7.3204
_cell_length_b 7.3204
_cell_length_c 3.4405
_cell_angle_alpha 90.00
_cell_angle_beta 90.00
_cell_angle_gamma 90.00
loop_
_atom_site_label
_atom_site_type_symbol
_atom_site_fract_x
_atom_site_fract_y
_atom_site_fract_z
_atom_site_occupancy
Sb1 Sb 0.1787 0.3213 0.0000 1
Os1 Os 0.0000 0.0000 0.5000 1
Pd1 Pd 0.1295 0.6295 0.5000 1
```

## Properties
The density of states at the Fermi level is 2.87 states/eV/cell.

=====

(B)
The following is a PBE calculation of a geometry-optimized Sb2OsPd2 structure, from Alexandria via LeMat-Bulk.

Cell and atoms, written as CIF:
```
data_Sb2OsPd2
_chemical_formula_sum 'Sb4 Os2 Pd4'
_symmetry_space_group_name_H-M 'I 4/m m m'
_symmetry_Int_Tables_number 139
_symmetry_space_group_name_Hall '-I 4 2'
_cell_length_a 4.2882
_cell_length_b 4.2882
_cell_length_c 11.4670
_cell_angle_alpha 90.00
_cell_angle_beta 90.00
_cell_angle_gamma 90.00
loop_
_atom_site_label
_atom_site_type_symbol
_atom_site_fract_x
_atom_site_fract_y
_atom_site_fract_z
_atom_site_occupancy
Sb1 Sb 0.0000 0.5000 0.2500 1
Os1 Os 0.0000 0.0000 0.0000 1
Pd1 Pd 0.0000 0.0000 0.3889 1
```

## Properties
The density of states at the Fermi level is 9.01 states/eV/cell.

=====

Most stable structure - (A); separation to the second - 572 meV per atom.

=====

(A)
The following is a PBE calculation of a geometry-optimized Sb2TeOsPd structure, from Alexandria via LeMat-Bulk.

Cell and atoms, written as CIF:
```
data_Sb2TeOsPd
_chemical_formula_sum 'Sb2 Te1 Os1 Pd1'
_symmetry_space_group_name_H-M 'P 4/m m m'
_symmetry_Int_Tables_number 123
_symmetry_space_group_name_Hall '-P 4 2'
_cell_length_a 5.0030
_cell_length_b 5.0030
_cell_length_c 5.5310
_cell_angle_alpha 90.00
_cell_angle_beta 90.00
_cell_angle_gamma 90.00
loop_
_atom_site_label
_atom_site_type_symbol
_atom_site_fract_x
_atom_site_fract_y
_atom_site_fract_z
_atom_site_occupancy
Sb1 Sb 0.0000 0.5000 0.0000 1
Te1 Te 0.0000 0.0000 0.5000 1
Os1 Os 0.0000 0.0000 0.0000 1
Pd1 Pd 0.5000 0.5000 0.5000 1
```

## Properties
The density of states at the Fermi level is 6.02 states/eV/cell.

=====

(B)
The following is a PBE calculation of a geometry-optimized Sb2TeOsPd structure, from Alexandria via LeMat-Bulk.

Cell and atoms, written as CIF:
```
data_Sb2TeOsPd
_chemical_formula_sum 'Sb2 Te1 Os1 Pd1'
_symmetry_space_group_name_H-M 'P 4/m m m'
_symmetry_Int_Tables_number 123
_symmetry_space_group_name_Hall '-P 4 2'
_cell_length_a 5.6777
_cell_length_b 5.6777
_cell_length_c 4.7942
_cell_angle_alpha 90.00
_cell_angle_beta 90.00
_cell_angle_gamma 90.00
loop_
_atom_site_label
_atom_site_type_symbol
_atom_site_fract_x
_atom_site_fract_y
_atom_site_fract_z
_atom_site_occupancy
Sb1 Sb 0.0000 0.5000 0.0000 1
Te1 Te 0.0000 0.0000 0.0000 1
Os1 Os 0.5000 0.5000 0.5000 1
Pd1 Pd 0.0000 0.0000 0.5000 1
```

## Properties
The density of states at the Fermi level is 5.85 states/eV/cell.

=====

Most stable structure - (A); separation to the second - 914 meV per atom.